(1)
RbPrZnBr6 after structural relaxation. Source: the Alexandria database, functional PBE.

a b c (Å): 7.2911 7.2911 15.2563
angles (deg): 90.00 90.00 120.00
Sites, in units of the cell vectors:
Br (0.0269, 0.3863, 0.6452)
Br (0.3593, 0.9731, 0.6452)
Br (0.6137, 0.9731, 0.8548)
Br (0.9731, 0.3593, 0.1452)
Br (0.3593, 0.3863, 0.8548)
Br (0.6407, 0.0269, 0.3548)
Br (0.3863, 0.3593, 0.3548)
Br (0.9731, 0.6137, 0.3548)
Br (0.0269, 0.6407, 0.8548)
Br (0.6137, 0.6407, 0.6452)
Br (0.3863, 0.0269, 0.1452)
Br (0.6407, 0.6137, 0.1452)
Pr (0.3333, 0.6667, 0.2500)
Pr (0.6667, 0.3333, 0.7500)
Zn (0.6667, 0.3333, 0.2500)
Zn (0.3333, 0.6667, 0.7500)
Rb (0.0000, 0.0000, 0.5000)
Rb (0.0000, 0.0000, 0.0000)

---

(2)
Pr2ReBr after structural relaxation. Source: the Alexandria database, functional PBE.

a b c (Å): 3.3509 3.3509 10.7352
angles (deg): 81.02 81.02 60.00
Sites, in units of the cell vectors:
Pr (0.0873, 0.0873, 0.7382)
Pr (0.9127, 0.9127, 0.2618)
Br (0.5000, 0.5000, 0.5000)
Re (0.0000, 0.0000, 0.0000)

---

(3)
Pr4ReBr5 after structural relaxation. Source: the Alexandria database, functional PBE.

a b c (Å): 4.0343 9.5533 9.7292
angles (deg): 105.47 101.97 90.00
Sites, in units of the cell vectors:
Pr (0.9975, 0.7623, 0.9951)
Pr (0.0025, 0.2377, 0.0049)
Pr (0.6451, 0.0791, 0.2901)
Pr (0.3549, 0.9209, 0.7099)
Br (0.5000, 0.5000, 0.0000)
Br (0.8313, 0.1487, 0.6626)
Br (0.1686, 0.3259, 0.3372)
Br (0.8314, 0.6741, 0.6628)
Br (0.1687, 0.8513, 0.3374)
Re (0.5000, 0.0000, 0.0000)

---

(4)
Pr4Rh2Br5 after structural relaxation. Source: the Alexandria database, functional PBE.

a b c (Å): 3.7891 9.5032 10.6829
angles (deg): 116.41 100.21 90.00
Sites, in units of the cell vectors:
Rh (0.1943, 0.1943, 0.3886)
Rh (0.8057, 0.8057, 0.6114)
Br (0.1576, 0.9081, 0.3152)
Br (0.5000, 0.0000, 0.0000)
Br (0.8424, 0.5929, 0.6848)
Br (0.8424, 0.0919, 0.6848)
Br (0.1576, 0.4071, 0.3152)
Pr (0.0000, 0.2887, 0.0000)
Pr (0.0000, 0.7113, 0.0000)
Pr (0.3250, 0.3250, 0.6499)
Pr (0.6750, 0.6750, 0.3501)

---

(5)
Pr4Rh2Br3 after structural relaxation. Source: the Alexandria database, functional PBE.

a b c (Å): 4.1287 4.1287 18.9087
angles (deg): 90.03 89.97 120.00
Sites, in units of the cell vectors:
Br (0.6661, 0.3339, 0.4042)
Br (0.0000, 0.0000, 0.0000)
Br (0.3339, 0.6661, 0.5958)
Pr (0.3334, 0.6666, 0.8724)
Pr (0.9996, 0.0004, 0.2999)
Pr (0.0004, 0.9996, 0.7001)
Pr (0.6666, 0.3334, 0.1276)
Rh (0.6669, 0.3331, 0.7915)
Rh (0.3331, 0.6669, 0.2085)

---

(6)
Pr4Rh2Br after structural relaxation. Source: the Alexandria database, functional PBE.

a b c (Å): 4.1831 4.1831 14.3749
angles (deg): 81.63 81.63 60.00
Sites, in units of the cell vectors:
Pr (0.7228, 0.7228, 0.8314)
Pr (0.8720, 0.8720, 0.3840)
Pr (0.1280, 0.1280, 0.6160)
Pr (0.2772, 0.2772, 0.1686)
Rh (0.4257, 0.4257, 0.7230)
Rh (0.5743, 0.5743, 0.2770)
Br (0.0000, 0.0000, 0.0000)

---

(7)
Pr7RhBr12 after structural relaxation. Source: the Alexandria database, functional PBE.

a b c (Å): 9.6247 9.6247 9.6247
angles (deg): 107.25 107.25 107.25
Sites, in units of the cell vectors:
Rh (0.0000, 0.0000, 0.0000)
Br (0.5299, 0.8344, 0.6150)
Br (0.8344, 0.6150, 0.5299)
Br (0.3167, 0.7820, 0.9261)
Br (0.1656, 0.3850, 0.4701)
Br (0.7820, 0.9261, 0.3167)
Br (0.4701, 0.1656, 0.3850)
Br (0.6833, 0.2180, 0.0739)
Br (0.6150, 0.5299, 0.8344)
Br (0.2180, 0.0739, 0.6833)
Br (0.0739, 0.6833, 0.2180)
Br (0.3850, 0.4701, 0.1656)
Br (0.9261, 0.3167, 0.7820)
Pr (0.9737, 0.6835, 0.8900)
Pr (0.0263, 0.3165, 0.1100)
Pr (0.6835, 0.8900, 0.9737)
Pr (0.1100, 0.0263, 0.3165)
Pr (0.5000, 0.5000, 0.5000)
Pr (0.3165, 0.1100, 0.0263)
Pr (0.8900, 0.9737, 0.6835)

---

(8)
Pr2RhBr2 after structural relaxation. Source: the Alexandria database, functional PBE.

a b c (Å): 4.1455 4.1455 11.2092
angles (deg): 79.34 79.34 60.00
Sites, in units of the cell vectors:
Rh (0.0000, 0.0000, 0.0000)
Br (0.2227, 0.2227, 0.3319)
Br (0.7773, 0.7773, 0.6681)
Pr (0.3841, 0.3841, 0.8478)
Pr (0.6159, 0.6159, 0.1522)

---

no.,calculated volume (Å³ per atom),ΔE_f (raw) (eV/atom)
1,39.02,-1.486
2,25.67,0.389
3,35.29,-1.234
4,30.70,-0.737
5,31.02,-1.182
6,30.68,-0.787
7,36.87,-1.621
8,32.60,-1.276